#a
This record from the Alexandria database describes a geometry-optimized GeP2SCl structure. The functional is GGA-PBE.

a = 4.6142 Å, b = 4.6142 Å, c = 4.7966 Å
α = 90.00°, β = 90.00°, γ = 90.00°
With the nearest neighbours (Å) after each atom.
Positions (direct):
P1 0.0000 0.5000 0.0000  2 S 2.31
P2 0.5000 0.0000 0.0000  2 S 2.31
Ge1 0.5000 0.5000 0.5000  4 Cl 3.26, 8 P 3.33
S1 0.0000 0.0000 0.0000  4 P 2.31, 2 Cl 2.40
Cl1 0.0000 0.0000 0.5000  2 S 2.40

V ... 20.4 Å³ per atom

=====

#b
This record from the Alexandria database describes a geometry-optimized GeP2SCl structure. The functional is GGA-PBE.

a = 4.8327 Å, b = 4.8327 Å, c = 4.6245 Å
α = 90.00°, β = 90.00°, γ = 90.00°
With the nearest neighbours (Å) after each atom.
Positions (direct):
P1 0.0000 0.5000 0.0000  2 Ge 2.42
P2 0.5000 0.0000 0.0000  2 Ge 2.42
Ge1 0.0000 0.0000 0.0000  2 Cl 2.31, 4 P 2.42
S1 0.5000 0.5000 0.5000  8 P 3.34, 4 Cl 3.42
Cl1 0.0000 0.0000 0.5000  2 Ge 2.31

V ... 21.6 Å³ per atom

=====

#c
This record from the Alexandria database describes a geometry-optimized GeP2SCl structure. The functional is GGA-PBE.

a = 4.8448 Å, b = 4.8448 Å, c = 4.6237 Å
α = 90.00°, β = 90.00°, γ = 90.00°
With the nearest neighbours (Å) after each atom.
Positions (direct):
P1 0.0000 0.5000 0.0000  2 Ge 2.42
P2 0.5000 0.0000 0.0000  2 Ge 2.42
Ge1 0.0000 0.0000 0.0000  2 S 2.31, 4 P 2.42
S1 0.0000 0.0000 0.5000  2 Ge 2.31
Cl1 0.5000 0.5000 0.5000  8 P 3.35, 4 S 3.43

V ... 21.7 Å³ per atom

=====

#d
This record from the Alexandria database describes a geometry-optimized GeP2SCl structure. The functional is GGA-PBE.

a = 4.5989 Å, b = 4.5989 Å, c = 4.9014 Å
α = 90.00°, β = 90.00°, γ = 90.00°
With the nearest neighbours (Å) after each atom.
Positions (direct):
P1 0.0000 0.5000 0.0000  2 Cl 2.30
P2 0.5000 0.0000 0.0000  2 Cl 2.30
Ge1 0.5000 0.5000 0.5000  4 S 3.25, 8 P 3.36
S1 0.0000 0.0000 0.5000  2 Cl 2.45
Cl1 0.0000 0.0000 0.0000  4 P 2.30, 2 S 2.45

V ... 20.7 Å³ per atom

=====

Result of the stability comparison: #a is the most stable of them.

=====

#a
This record from the Alexandria database describes a geometry-optimized GePS2Cl structure. The functional is GGA-PBE.

a = 4.6471 Å, b = 4.6471 Å, c = 4.6089 Å
α = 90.00°, β = 90.00°, γ = 90.00°
With the nearest neighbours (Å) after each atom.
Positions (direct):
P1 0.0000 0.0000 0.0000  2 Cl 2.30, 4 S 2.32
Ge1 0.5000 0.5000 0.5000  8 S 3.27, 4 Cl 3.29
S1 0.0000 0.5000 0.0000  2 P 2.32
S2 0.5000 0.0000 0.0000  2 P 2.32
Cl1 0.0000 0.0000 0.5000  2 P 2.30

V ... 19.9 Å³ per atom

=====

#b
This record from the Alexandria database describes a geometry-optimized GePS2Cl structure. The functional is GGA-PBE.

a = 4.7850 Å, b = 4.7850 Å, c = 4.6551 Å
α = 90.00°, β = 90.00°, γ = 90.00°
With the nearest neighbours (Å) after each atom.
Positions (direct):
P1 0.5000 0.5000 0.5000  8 S 3.34, 4 Cl 3.38
Ge1 0.0000 0.0000 0.0000  2 Cl 2.33, 4 S 2.39
S1 0.0000 0.5000 0.0000  2 Ge 2.39
S2 0.5000 0.0000 0.0000  2 Ge 2.39
Cl1 0.0000 0.0000 0.5000  2 Ge 2.33

V ... 21.3 Å³ per atom

=====

Result of the stability comparison: #a is the most stable of them.

=====

#a
This record from the Alexandria database describes a geometry-optimized GePS2Cl structure. The functional is GGA-PBE.

a = 4.5913 Å, b = 4.5913 Å, c = 5.1389 Å
α = 90.00°, β = 90.00°, γ = 90.00°
With the nearest neighbours (Å) after each atom.
Positions (direct):
P1 0.0000 0.0000 0.5000  2 Ge 2.57
Ge1 0.0000 0.0000 0.0000  4 S 2.30, 2 P 2.57
S1 0.0000 0.5000 0.0000  2 Ge 2.30
S2 0.5000 0.0000 0.0000  2 Ge 2.30
Cl1 0.5000 0.5000 0.5000  4 P 3.25, 8 S 3.45

V ... 21.7 Å³ per atom

=====

#b
This record from the Alexandria database describes a geometry-optimized GePS2Cl structure. The functional is GGA-PBE.

a = 4.6721 Å, b = 4.6721 Å, c = 4.6920 Å
α = 90.00°, β = 90.00°, γ = 90.00°
With the nearest neighbours (Å) after each atom.
Positions (direct):
P1 0.0000 0.0000 0.5000  2 Cl 2.35
Ge1 0.5000 0.5000 0.5000  4 P 3.30, 8 S 3.31
S1 0.0000 0.5000 0.0000  2 Cl 2.34
S2 0.5000 0.0000 0.0000  2 Cl 2.34
Cl1 0.0000 0.0000 0.0000  4 S 2.34, 2 P 2.35

V ... 20.5 Å³ per atom

=====

Result of the stability comparison: #a is the most stable of them.

=====

#a
This record from the Alexandria database describes a geometry-optimized SrGeP2Cl structure. The functional is GGA-PBE.

a = 5.6451 Å, b = 5.6451 Å, c = 5.3089 Å
α = 90.00°, β = 90.00°, γ = 90.00°
With the nearest neighbours (Å) after each atom.
Positions (direct):
Sr1 0.0000 0.0000 0.0000  2 Cl 2.65, 4 P 2.82
Ge1 0.5000 0.5000 0.5000  8 P 3.87, 4 Cl 3.99
P1 0.0000 0.5000 0.0000  2 Sr 2.82
P2 0.5000 0.0000 0.0000  2 Sr 2.82
Cl1 0.0000 0.0000 0.5000  2 Sr 2.65

V ... 33.8 Å³ per atom

=====

#b
This record from the Alexandria database describes a geometry-optimized SrGeP2Cl structure. The functional is GGA-PBE.

a = 4.7161 Å, b = 4.7161 Å, c = 5.4637 Å
α = 90.00°, β = 90.00°, γ = 90.00°
With the nearest neighbours (Å) after each atom.
Positions (direct):
Sr1 0.5000 0.5000 0.5000  4 Cl 3.33, 8 P 3.61
Ge1 0.0000 0.0000 0.0000  4 P 2.36
P1 0.0000 0.5000 0.0000  2 Ge 2.36
P2 0.5000 0.0000 0.0000  2 Ge 2.36
Cl1 0.0000 0.0000 0.5000  2 Ge 2.73

V ... 24.3 Å³ per atom

=====

Result of the stability comparison: #b is the most stable of them.

=====

#a
This record from the Alexandria database describes a geometry-optimized TaGePCl2 structure. The functional is GGA-PBE.

a = 4.7642 Å, b = 4.7642 Å, c = 5.0322 Å
α = 90.00°, β = 90.00°, γ = 90.00°
With the nearest neighbours (Å) after each atom.
Positions (direct):
P1 0.0000 0.0000 0.5000  2 Ta 2.52
Ge1 0.5000 0.5000 0.5000  4 P 3.37, 8 Cl 3.46
Cl1 0.0000 0.5000 0.0000  2 Ta 2.38
Cl2 0.5000 0.0000 0.0000  2 Ta 2.38
Ta1 0.0000 0.0000 0.0000  4 Cl 2.38, 2 P 2.52

V ... 22.8 Å³ per atom

=====

#b
This record from the Alexandria database describes a geometry-optimized TaGePCl2 structure. The functional is GGA-PBE.

a = 4.7019 Å, b = 4.7019 Å, c = 5.0255 Å
α = 90.00°, β = 90.00°, γ = 90.00°
With the nearest neighbours (Å) after each atom.
Positions (direct):
P1 0.0000 0.0000 0.5000  2 Ge 2.51
Ge1 0.0000 0.0000 0.0000  4 Cl 2.35, 2 P 2.51
Cl1 0.0000 0.5000 0.0000  2 Ge 2.35
Cl2 0.5000 0.0000 0.0000  2 Ge 2.35
Ta1 0.5000 0.5000 0.5000  4 P 3.32, 8 Cl 3.44

V ... 22.2 Å³ per atom

=====

Result of the stability comparison: #a is the most stable of them.

=====

#a
This record from the Alexandria database describes a geometry-optimized TcGeP2Cl structure. The functional is GGA-PBE.

a = 4.7417 Å, b = 4.7417 Å, c = 4.7170 Å
α = 90.00°, β = 90.00°, γ = 90.00°
With the nearest neighbours (Å) after each atom.
Positions (direct):
P1 0.0000 0.5000 0.0000  2 Ge 2.37
P2 0.5000 0.0000 0.0000  2 Ge 2.37
Ge1 0.0000 0.0000 0.0000  2 Cl 2.36, 4 P 2.37
Tc1 0.5000 0.5000 0.5000  8 P 3.34, 4 Cl 3.35
Cl1 0.0000 0.0000 0.5000  2 Ge 2.36

V ... 21.2 Å³ per atom

=====

#b
This record from the Alexandria database describes a geometry-optimized TcGeP2Cl structure. The functional is GGA-PBE.

a = 4.5531 Å, b = 4.5531 Å, c = 5.1103 Å
α = 90.00°, β = 90.00°, γ = 90.00°
With the nearest neighbours (Å) after each atom.
Positions (direct):
P1 0.0000 0.5000 0.0000  2 Tc 2.28
P2 0.5000 0.0000 0.0000  2 Tc 2.28
Ge1 0.5000 0.5000 0.5000  4 Cl 3.22, 8 P 3.42
Tc1 0.0000 0.0000 0.0000  4 P 2.28
Cl1 0.0000 0.0000 0.5000  2 Tc 2.56

V ... 21.2 Å³ per atom

=====

Result of the stability comparison: #b is the most stable of them.